This record from Alexandria via LeMat-Bulk describes a relaxed Pa3Fe2B9 crystal. The functional is PBE.

POSCAR file:
```
Pa3Fe2B9
1.0
3.0873 0.0000 0.0000
1.5437 7.5158 1.0450
1.5437 2.7214 7.0833
B Pa Fe
9 3 2
Cartesian
3.0873 7.9453 3.2710
3.0873 4.9868 6.9971
4.6310 5.3120 6.3944
1.5437 4.9252 1.7338
1.5437 5.1186 4.0641
3.0873 5.2503 1.1312
3.0873 2.2919 4.8573
1.5437 2.8051 4.4040
4.6310 7.4321 3.7243
0.0000 0.0000 0.0000
3.0873 2.7245 2.1632
3.0873 7.5127 5.9651
3.0873 4.3237 5.0653
3.0873 5.9135 3.0630
```

Values from the calculation:
ΔE_f ... -4.99 eV/f.u.


This record from Alexandria via LeMat-Bulk describes a relaxed KBe2Tl crystal. The functional is PBE.

POSCAR file:
```
KBe2Tl
1.0
-1.4925 -2.9910 -1.4304
-0.1974 -1.4857 3.3126
-6.7489 2.9314 0.9125
Be Tl K
2 1 1
Cartesian
-4.0619 1.7642 0.5492
-6.0616 2.6328 0.8195
-5.9067 -0.0398 1.6255
-2.5322 -1.5055 1.1692
```

Values from the calculation:
Energy relative to the lowest polymorph listed for this composition ... 0.428 eV per atom
ΔE_f ... 3.29 eV/f.u.


This record from Alexandria via LeMat-Bulk describes a relaxed BePbBr2 crystal. The functional is PBE.

POSCAR file:
```
BePbBr2
1.0
3.4555 0.0000 0.0000
0.0000 3.4555 0.0000
0.0000 0.0000 8.6130
Pb Be Br
1 1 2
Cartesian
0.0000 0.0000 4.5239
1.7278 1.7278 6.7093
1.7278 1.7278 2.4942
0.0000 0.0000 7.8050
```

Values from the calculation:
Energy relative to the lowest polymorph listed for this composition ... 0.445 eV per atom
Formation energy without anion corrections ... 0.019 eV per atom


This record from Alexandria via LeMat-Bulk describes a relaxed SrLaPt2 crystal. The functional is PBE.

POSCAR file:
```
SrLaPt2
1.0
-3.2150 6.5655 -2.7625
-6.2941 -1.1995 4.4742
-3.1383 4.6534 3.6578
La Sr Pt
2 2 4
Cartesian
0.0000 0.0000 0.0000
-5.5539 6.9509 0.8756
-7.0934 3.0684 4.4939
-4.7545 2.6830 0.8559
-5.0460 1.0828 3.4293
-5.7743 5.5300 3.2819
-10.8194 8.1576 4.3444
-3.6549 5.2684 -0.3166
```

Values from the calculation:
Energy relative to the lowest polymorph listed for this composition ... 0.349 eV per atom
ΔE_f ... -2.63 eV/f.u.


This record from Alexandria via LeMat-Bulk describes a relaxed Li2LaDy2In2 crystal. The functional is PBE.

POSCAR file:
```
Li2LaDy2In2
1.0
4.9332 0.0000 0.0000
2.4666 4.2723 0.0000
2.4666 1.4241 8.9769
Dy In Li La
2 2 2 1
Cartesian
7.3998 4.2723 3.4895
2.4666 1.4241 5.4874
2.4666 1.4241 2.0613
7.3998 4.2723 6.9155
4.9332 2.8482 6.9365
4.9332 2.8482 2.0403
0.0000 0.0000 0.0000
```

Values from the calculation:
ΔE_f ... -1.73 eV/f.u.


This record from Alexandria via LeMat-Bulk describes a relaxed La2YPd2 crystal. The functional is PBE.

POSCAR file:
```
La2YPd2
1.0
-0.5163 -3.3564 -3.3688
4.7227 -0.7592 0.0326
1.3841 -6.3429 2.7115
Y La Pd
1 2 2
Cartesian
0.0000 0.0000 0.0000
1.4855 -5.8786 -1.1627
4.1050 -4.5799 0.5380
3.6392 -7.4957 0.1185
1.9513 -2.9627 -0.7432
```

Values from the calculation:
Energy relative to the lowest polymorph listed for this composition ... 0.316 eV per atom
ΔE_f ... -1.81 eV/f.u.


This record from Alexandria via LeMat-Bulk describes a relaxed MoIrOs2 crystal. The functional is PBE.

POSCAR file:
```
MoIrOs2
1.0
9.1681 -0.0057 -0.0033
8.7585 2.7098 -0.0033
8.7585 1.3212 2.3659
Os Mo Ir
2 1 1
Cartesian
26.6662 4.0224 2.3576
13.3614 2.0155 1.1813
20.0138 3.0190 1.7694
6.6713 1.0063 0.5898
```

Values from the calculation:
Energy relative to the lowest polymorph listed for this composition ... 0.188 eV per atom
ΔE_f ... 0.35 eV/f.u.


This record from Alexandria via LeMat-Bulk describes a relaxed Tb2Be2InPt5 crystal. The functional is PBE.

POSCAR file:
```
Tb2Be2InPt5
1.0
3.5811 0.0000 0.0000
0.0000 9.6575 0.0000
0.0000 0.0000 9.6575
Pt Be In Tb
10 4 2 4
Cartesian
1.7905 2.1280 0.6597
1.7905 4.8287 0.0000
1.7905 7.5294 8.9977
1.7905 0.6597 7.5294
1.7905 8.9977 2.1280
1.7905 5.4884 6.9568
1.7905 2.7007 5.4884
1.7905 4.1690 2.7007
1.7905 0.0000 4.8287
1.7905 6.9568 4.1690
0.0000 5.9585 8.5276
0.0000 3.6989 1.1298
0.0000 1.1298 5.9585
0.0000 8.5276 3.6989
0.0000 4.8287 4.8287
0.0000 0.0000 0.0000
0.0000 6.5524 1.7237
0.0000 3.1051 7.9338
0.0000 7.9338 6.5524
0.0000 1.7237 3.1051
```

Values from the calculation:
ΔE_f ... -9.60 eV/f.u.


How do the records compare in final energy? In the order shown, they have -7.8928; -1.9066; -2.6763; -5.3310; -3.5948; -5.7035; -10.4497; -5.9254 eV/atom.